Entry 1:
DFT (GGA-PBE) results for crystalline Al2S6Br at its relaxed geometry.

a = 6.681 Å, b = 6.681 Å, c = 14.857 Å
α = 100.80°, β = 100.80°, γ = 50.50°
Positions (direct):
Al (0.305, 0.364, 0.290)
Br (0.678, 0.322, 0.250)
S (0.545, 0.018, 0.672)
Al (0.636, 0.695, 0.210)
S (0.459, 0.786, 0.058)
S (0.786, 0.459, 0.558)
S (0.018, 0.545, 0.172)
S (0.168, 0.875, 0.464)
S (0.125, 0.832, 0.036)
S (0.982, 0.455, 0.828)
S (0.541, 0.214, 0.942)
Br (0.322, 0.678, 0.750)
Al (0.364, 0.305, 0.790)
S (0.875, 0.168, 0.964)
S (0.455, 0.982, 0.328)
Al (0.695, 0.636, 0.710)
S (0.214, 0.541, 0.442)
S (0.832, 0.125, 0.536)

Calculated values
Its crystal system is monoclinic.

***

Entry 2:
DFT (GGA-PBE) results for crystalline AlSBr at its relaxed geometry.

a = 3.560 Å, b = 3.560 Å, c = 6.964 Å
α = 90.00°, β = 90.00°, γ = 120.00°
Positions (direct):
Al (0.667, 0.333, 0.364)
Br (0.000, 0.000, 0.113)
S (0.333, 0.667, 0.523)

Calculated values
Its crystal system is trigonal.

***

Per-record E_form (uncorrected), eV/atom: -0.49 -1.05